A relaxed AsOsPb crystal. Source: the Alexandria database, functional PBE-GGA.

* E_form: 0.580 eV/atom
* electronic total energy: -17.85 eV/cell
* symmetry: F-43m
* offset from the most stable computed form: 320 meV/atom

a b c (Å): 4.498 4.498 4.498
angles (deg): 60.00 60.00 60.00
Positions (direct):
Os 0.750 0.750 0.750
Pb 0.000 0.000 0.000
As 0.500 0.500 0.500

=====

A relaxed As4OsPb crystal. Source: the Alexandria database, functional PBE-GGA.

* E_form: 0.955 eV/atom
* electronic total energy: -27.81 eV/cell
* symmetry: F-43m

a b c (Å): 5.596 5.596 5.596
angles (deg): 60.00 60.00 60.00
Last column: magnetic moment on the atom in μB.
Positions (direct):
As 0.868 0.377 0.377  0.03
As 0.377 0.868 0.377  0.03
As 0.377 0.377 0.377  0.03
As 0.377 0.377 0.868  0.03
Os 0.750 0.750 0.750  1.85
Pb 0.000 0.000 0.000  -0.01

=====

A relaxed As2OsPb crystal. Source: the Alexandria database, functional PBE-GGA.

* E_form: 0.480 eV/atom
* electronic total energy: -22.32 eV/cell
* symmetry: Cmmm

a b c (Å): 3.097 3.097 9.921
angles (deg): 90.00 90.00 119.13
Positions (direct):
Pb 0.500 0.500 0.750
As 0.000 0.000 0.450
As 0.000 0.000 0.050
Os 0.500 0.500 0.250

=====

> What is the formula in the second record?

As4OsPb

=====

> E_form of number 3 (As2OsPb)?

0.480 eV/atom

=====

> The highest electronic total energy belongs to which entry?

AsOsPb